<a>
Entry from Alexandria: an optimized crystal structure of TaCuOs3 (PBE-GGA).

```
TaCuOs3
1.0
4.388 0.000 0.000
0.000 4.388 0.000
0.000 0.000 4.388
Os Cu Ta
3 1 1
Direct
0.000 0.500 0.000 Os
0.000 0.000 0.500 Os
0.500 0.000 0.000 Os
0.000 0.000 0.000 Cu
0.500 0.500 0.500 Ta
```

Values from the calculation:
**M_tot**: 0.00 μB per cell
**SG**: No. 221

=====

<b>
Entry from Alexandria: an optimized crystal structure of TaCuOs3 (PBE-GGA).

```
TaCuOs3
1.0
4.758 0.000 0.000
0.000 4.758 0.000
0.000 0.000 4.758
Os Cu Ta
3 1 1
Direct
0.000 0.500 0.000 Os
0.000 0.000 0.500 Os
0.500 0.000 0.000 Os
0.500 0.500 0.500 Cu
0.000 0.000 0.000 Ta
```

Values from the calculation:
**M_tot**: 2.84 μB per cell
**SG**: No. 221

=====

Winner for stability: <a>